VASP calculation (PBE) on crystalline Sm5ThAl4 at its relaxed geometry.

* ΔE_f: -284 meV per atom
* spin magnetization: 0.0 μB per formula unit
* SG: P4/mmm

Unit cell a=3.5093 b=3.5093 c=21.3933 alpha=90.00 beta=90.00 gamma=90.00
Closest atoms and distances in Å follow each position.
Sites, in units of the cell vectors:
Sm 0.0000 0.0000 0.0000  8 Al 3.21, 4 Sm 3.51
Sm 0.0000 0.0000 0.1895  8 Al 3.20-3.22, 4 Sm 3.51
Sm 0.0000 0.0000 0.3796  4 Al 3.20, 4 Sm 3.51, 4 Th 3.58
Sm 0.0000 0.0000 0.6204  4 Al 3.20, 4 Sm 3.51, 4 Th 3.58
Sm 0.0000 0.0000 0.8105  8 Al 3.20-3.22, 4 Sm 3.51
Th 0.5000 0.5000 0.5000  4 Th 3.51, 8 Sm 3.58
Al 0.5000 0.5000 0.0950  8 Sm 3.20-3.21, 4 Al 3.51
Al 0.5000 0.5000 0.2854  8 Sm 3.20-3.22, 4 Al 3.51
Al 0.5000 0.5000 0.7146  8 Sm 3.20-3.22, 4 Al 3.51
Al 0.5000 0.5000 0.9050  8 Sm 3.20-3.21, 4 Al 3.51


VASP calculation (PBE) on crystalline MgBeRu2C at its relaxed geometry.

* ΔE_f: 22 meV per atom
* spin magnetization: 0.0 μB per formula unit
* SG: P4/mmm

Unit cell a=4.1269 b=4.1269 c=3.5006 alpha=90.00 beta=90.00 gamma=90.00
Closest atoms and distances in Å follow each position.
Sites, in units of the cell vectors:
Mg 0.0000 0.0000 0.0000  8 Ru 2.71, 4 Be 2.92
Be 0.5000 0.5000 0.0000  2 C 1.75
Ru 0.0000 0.5000 0.5000  2 C 2.06
Ru 0.5000 0.0000 0.5000  2 C 2.06
C 0.5000 0.5000 0.5000  2 Be 1.75


VASP calculation (PBE) on crystalline Li2SnMoS at its relaxed geometry.

* spin magnetization: 1.0 μB per formula unit
* SG: P4/mmm
* uncorrected formation energy: -110 kJ/mol of formula units

Unit cell a=4.4177 b=4.4177 c=4.5838 alpha=90.00 beta=90.00 gamma=90.00
Closest atoms and distances in Å follow each position.
Sites, in units of the cell vectors:
Li 0.0000 0.5000 0.0000  2 S 2.21
Li 0.5000 0.0000 0.0000  2 S 2.21
Sn 0.0000 0.0000 0.5000  4 Mo 3.12, 8 Li 3.18
Mo 0.5000 0.5000 0.5000  2 S 2.29
S 0.5000 0.5000 0.0000  4 Li 2.21, 2 Mo 2.29


VASP calculation (PBE) on crystalline Mg3AlCd4 at its relaxed geometry.

* ΔE_f: -27 meV per atom
* spin magnetization: 0.0 μB per formula unit
* SG: Pmma

Unit cell a=9.9178 b=6.2338 c=5.5425 alpha=90.00 beta=90.00 gamma=90.00
Closest atoms and distances in Å follow each position.
Sites, in units of the cell vectors:
Mg 0.0000 0.0000 0.0000  8 Cd 3.03-3.19, 2 Al 3.12, 2 Mg 3.21
Mg 0.2500 0.0000 0.3682  8 Cd 3.03-3.22, 4 Mg 3.12-3.21
Mg 0.2500 0.5000 0.3409  8 Cd 3.05-3.27, 2 Al 3.12, 2 Mg 3.12
Mg 0.5000 0.0000 0.0000  8 Cd 3.03-3.19, 2 Al 3.12, 2 Mg 3.21
Mg 0.7500 0.0000 0.6318  8 Cd 3.03-3.22, 4 Mg 3.12-3.21
Mg 0.7500 0.5000 0.6591  8 Cd 3.05-3.27, 2 Al 3.12, 2 Mg 3.12
Al 0.0000 0.5000 0.0000  8 Cd 3.02-3.17, 4 Mg 3.12
Al 0.5000 0.5000 0.0000  8 Cd 3.02-3.17, 4 Mg 3.12
Cd 0.0000 0.2532 0.5000  6 Mg 3.03-3.19, 4 Cd 3.08-3.19, 2 Al 3.17
Cd 0.0000 0.7468 0.5000  6 Mg 3.03-3.19, 4 Cd 3.08-3.19, 2 Al 3.17
Cd 0.2500 0.2517 0.8609  2 Al 3.02, 6 Mg 3.03-3.27, 4 Cd 3.10-3.19
Cd 0.2500 0.7483 0.8609  2 Al 3.02, 6 Mg 3.03-3.27, 4 Cd 3.10-3.19
Cd 0.5000 0.2532 0.5000  6 Mg 3.03-3.19, 4 Cd 3.08-3.19, 2 Al 3.17
Cd 0.5000 0.7468 0.5000  6 Mg 3.03-3.19, 4 Cd 3.08-3.19, 2 Al 3.17
Cd 0.7500 0.2517 0.1391  2 Al 3.02, 6 Mg 3.03-3.27, 4 Cd 3.10-3.19
Cd 0.7500 0.7483 0.1391  2 Al 3.02, 6 Mg 3.03-3.27, 4 Cd 3.10-3.19